#one
This record from Alexandria via LeMat-Bulk describes an optimized crystal structure of Ca2V2H. The functional is PBE.

Structure (POSCAR):
```
Ca2V2H
1.0
-3.004 3.004 3.041
3.004 -3.004 3.041
3.004 3.004 -3.041
Ca V H
2 2 1
Cartesian
3.004 0.000 1.520
0.000 3.004 1.520
0.000 0.000 0.929
0.000 0.000 5.153
0.000 0.000 3.041
```

- DOS(E_F): 5.028 states/eV per cell
- Magnetic moment: 0.000 μB per atom

***

#two
This record from Alexandria via LeMat-Bulk describes an optimized crystal structure of Ca2V2H. The functional is PBE.

Structure (POSCAR):
```
Ca2V2H
1.0
8.573 0.000 0.000
0.000 8.573 0.000
0.000 0.000 3.452
Ca V H
4 4 2
Cartesian
1.783 2.504 0.000
2.504 6.790 0.000
6.069 1.783 0.000
6.790 6.069 0.000
0.646 4.932 1.726
3.640 0.646 1.726
4.932 7.927 1.726
7.927 3.640 1.726
0.000 0.000 1.726
4.286 4.286 1.726
```

- DOS(E_F): 8.395 states/eV per cell
- Magnetic moment: 0.000 μB per atom

***

Quick one: most stable of them? #two

***

#one
This record from Alexandria via LeMat-Bulk describes an optimized crystal structure of CaV2H. The functional is PBE.

Structure (POSCAR):
```
CaV2H
1.0
0.000 3.996 3.996
3.996 0.000 3.996
3.996 3.996 0.000
Ca V H
2 4 2
Cartesian
0.999 0.999 0.999
6.992 6.992 6.992
3.996 1.998 1.998
1.998 3.996 1.998
1.998 1.998 3.996
3.996 3.996 3.996
2.997 2.997 2.997
4.995 4.995 4.995
```

- DOS(E_F): 11.779 states/eV per cell
- Magnetic moment: 0.000 μB per atom

***

#two
This record from Alexandria via LeMat-Bulk describes an optimized crystal structure of CaV2H. The functional is PBE.

Structure (POSCAR):
```
CaV2H
1.0
0.000 3.398 3.398
3.398 0.000 3.398
3.398 3.398 0.000
Ca V H
1 2 1
Cartesian
0.000 0.000 0.000
1.699 1.699 1.699
5.097 5.097 5.097
3.398 3.398 3.398
```

- DOS(E_F): 5.868 states/eV per cell
- Magnetic moment: 2.006 μB per atom

***

Quick one: most stable of them? #one

***

#one
This record from Alexandria via LeMat-Bulk describes an optimized crystal structure of CaVH3. The functional is PBE.

Structure (POSCAR):
```
CaVH3
1.0
3.688 0.000 0.000
0.000 3.688 0.000
0.000 0.000 3.688
Ca V H
1 1 3
Cartesian
0.000 0.000 0.000
1.844 1.844 1.844
0.000 1.844 1.844
1.844 0.000 1.844
1.844 1.844 0.000
```

- DOS(E_F): 1.907 states/eV per cell
- Magnetic moment: 0.396 μB per atom

***

#two
This record from Alexandria via LeMat-Bulk describes an optimized crystal structure of CaVH3. The functional is PBE.

Structure (POSCAR):
```
CaVH3
1.0
4.043 0.000 0.000
0.000 4.043 0.000
0.000 0.000 4.043
Ca V H
1 1 3
Cartesian
0.000 0.000 0.000
2.021 2.021 2.021
0.000 0.000 2.021
0.000 2.021 0.000
2.021 0.000 0.000
```

- DOS(E_F): 3.966 states/eV per cell
- Magnetic moment: 0.771 μB per atom

***

Quick one: most stable of them? #one

***

#one
This record from Alexandria via LeMat-Bulk describes an optimized crystal structure of CaH2W. The functional is PBE.

Structure (POSCAR):
```
CaH2W
1.0
0.000 2.896 2.896
2.896 0.000 2.896
2.896 2.896 0.000
Ca H W
1 2 1
Cartesian
0.000 0.000 0.000
1.448 1.448 1.448
4.344 4.344 4.344
2.896 2.896 2.896
```

- DOS(E_F): 3.652 states/eV per cell
- Magnetic moment: 0.150 μB per atom

***

#two
This record from Alexandria via LeMat-Bulk describes an optimized crystal structure of CaH2W. The functional is PBE.

Structure (POSCAR):
```
CaH2W
1.0
-2.570 2.570 3.632
2.570 -2.570 3.632
2.570 2.570 -3.632
Ca H W
2 4 2
Cartesian
0.000 0.000 0.000
0.000 2.570 1.816
1.285 -0.975 2.724
1.594 1.285 0.908
1.285 3.545 -0.908
0.975 1.285 4.540
2.570 0.000 1.816
0.000 0.000 3.632
```

- DOS(E_F): 3.490 states/eV per cell
- Magnetic moment: 0.000 μB per atom

***

Quick one: most stable of them? #two

***

#one
This record from Alexandria via LeMat-Bulk describes an optimized crystal structure of CaY3H. The functional is PBE.

Structure (POSCAR):
```
CaY3H
1.0
5.082 0.000 0.000
0.000 5.082 0.000
0.000 0.000 5.082
Ca Y H
1 3 1
Cartesian
0.000 0.000 0.000
0.000 2.541 2.541
2.541 0.000 2.541
2.541 2.541 0.000
2.541 2.541 2.541
```

- DOS(E_F): 8.016 states/eV per cell
- Magnetic moment: 0.000 μB per atom

***

#two
This record from Alexandria via LeMat-Bulk describes an optimized crystal structure of CaY3H. The functional is PBE.

Structure (POSCAR):
```
CaY3H
1.0
5.700 0.000 0.000
0.000 5.700 0.000
0.000 0.000 5.700
Ca Y H
1 3 1
Cartesian
0.000 0.000 0.000
0.000 0.000 2.850
0.000 2.850 0.000
2.850 0.000 0.000
2.850 2.850 2.850
```

- DOS(E_F): 4.193 states/eV per cell
- Magnetic moment: 0.000 μB per atom

***

Quick one: most stable of them? #one

***

#one
This record from Alexandria via LeMat-Bulk describes an optimized crystal structure of CaY2H. The functional is PBE.

Structure (POSCAR):
```
CaY2H
1.0
0.000 3.839 3.839
3.839 0.000 3.839
3.839 3.839 0.000
Ca Y H
1 2 1
Cartesian
0.000 0.000 0.000
1.919 1.919 1.919
5.758 5.758 5.758
3.839 3.839 3.839
```

- DOS(E_F): 4.750 states/eV per cell
- Magnetic moment: 0.000 μB per atom

***

#two
This record from Alexandria via LeMat-Bulk describes an optimized crystal structure of CaY2H. The functional is PBE.

Structure (POSCAR):
```
CaY2H
1.0
-3.540 3.540 4.412
3.540 -3.540 4.412
3.540 3.540 -4.412
Ca Y H
2 4 2
Cartesian
0.000 0.000 0.000
0.000 3.540 2.206
1.770 -0.582 3.309
2.959 1.770 1.103
1.770 4.122 -1.103
0.582 1.770 5.514
3.540 0.000 2.206
0.000 0.000 4.412
```

- DOS(E_F): 13.076 states/eV per cell
- Magnetic moment: 0.000 μB per atom

***

Quick one: most stable of them? #two